Compound: La2NdOs
Source: the Alexandria database
Functional: PBE
Structure: optimized geometry

calculated formation energy = -133.4 meV/atom
energy above the lowest structure with this stoichiometry = 0 meV per atom
size of the total moment = 0.000 μB per atom
SG = Pnma, No. 62

Structure (extended XYZ):
```
16
Lattice="7.497 0.000 0.000 0.000 9.913 0.000 0.000 0.000 6.549" Properties=species:S:1:pos:R:3 pbc="T T T"
La 1.302 0.679 1.122
La 1.302 4.277 1.122
La 2.447 5.635 4.397
La 2.447 9.234 4.397
La 5.050 0.679 2.152
La 5.050 4.277 2.152
La 6.195 5.635 5.427
La 6.195 9.234 5.427
Nd 0.326 2.478 4.233
Nd 3.423 7.434 0.959
Nd 4.075 2.478 5.590
Nd 7.171 7.434 2.316
Os 0.841 7.434 6.145
Os 2.908 2.478 2.870
Os 4.589 7.434 3.679
Os 6.656 2.478 0.404
```

=====

Compound: CaScTl
Source: the Alexandria database
Functional: PBE
Structure: optimized geometry

calculated formation energy = -132.8 meV/atom
energy above the lowest structure with this stoichiometry = 154 meV per atom
size of the total moment = 0.000 μB per atom
SG = Cm, No. 8

Structure (extended XYZ):
```
12
Lattice="11.803 0.000 0.000 0.000 5.156 0.000 -3.707 0.000 5.532" Properties=species:S:1:pos:R:3 pbc="T T T"
Ca 0.000 0.000 0.000
Ca 1.109 2.578 2.109
Ca 5.902 2.578 0.000
Ca 7.011 0.000 2.109
Sc -1.185 0.000 3.315
Sc 3.572 0.000 1.047
Sc 4.716 2.578 3.315
Sc 9.474 2.578 1.047
Tl -0.989 2.578 4.897
Tl 2.017 0.000 3.665
Tl 4.913 0.000 4.897
Tl 7.919 2.578 3.665
```

=====

Compound: LaNb3Ag
Source: the Alexandria database
Functional: PBE
Structure: optimized geometry

calculated formation energy = 1737.9 meV/atom
energy above the lowest structure with this stoichiometry = 310 meV per atom
size of the total moment = 0.000 μB per atom
SG = Pm-3m, No. 221

Structure (extended XYZ):
```
5
Lattice="4.874 0.000 0.000 0.000 4.874 0.000 0.000 0.000 4.874" Properties=species:S:1:pos:R:3 pbc="T T T"
La 0.000 0.000 0.000
Nb 0.000 0.000 2.437
Nb 0.000 2.437 0.000
Nb 2.437 0.000 0.000
Ag 2.437 2.437 2.437
```

=====

Compound: KAl5
Source: the Alexandria database
Functional: PBE
Structure: optimized geometry

calculated formation energy = 176.9 meV/atom
energy above the lowest structure with this stoichiometry = 68 meV per atom
size of the total moment = 0.000 μB per atom
SG = Cm, No. 8

Structure (extended XYZ):
```
12
Lattice="12.988 0.000 0.000 0.000 3.008 0.000 -2.303 0.000 6.731" Properties=species:S:1:pos:R:3 pbc="T T T"
K 0.000 0.000 0.000
K 6.494 1.504 0.000
Al -1.122 0.000 3.392
Al 1.069 1.504 2.961
Al 1.054 0.000 5.482
Al 3.160 1.504 1.222
Al 3.166 0.000 3.741
Al 5.372 1.504 3.392
Al 7.563 0.000 2.961
Al 7.548 1.504 5.482
Al 9.653 0.000 1.222
Al 9.660 1.504 3.741
```

=====

Compound: Pm2Pd5Pb2
Source: the Alexandria database
Functional: PBE
Structure: optimized geometry

calculated formation energy = -495.3 meV/atom
size of the total moment = 0.000 μB per atom
SG = Ima2, No. 46

Structure (extended XYZ):
```
18
Lattice="-7.816 3.622 3.610 7.816 -3.622 3.610 7.816 3.622 -3.610" Properties=species:S:1:pos:R:3 pbc="T T T"
Pm 1.860 0.524 0.000
Pm 5.956 0.524 0.000
Pm 1.860 3.099 3.610
Pm 5.956 3.099 3.610
Pd 8.062 2.303 -1.546
Pd 7.570 -1.320 2.063
Pd -0.246 1.320 2.063
Pd 8.062 1.320 2.063
Pd -2.556 2.439 1.245
Pd 2.556 -1.183 4.855
Pd 3.908 2.256 1.437
Pd 2.556 4.806 1.245
Pd 5.260 4.806 1.245
Pd 3.908 1.366 5.047
Pb 3.908 -0.282 2.621
Pb 3.908 3.905 -0.989
Pb 0.000 3.622 0.752
Pb 0.000 0.000 4.362
```

=====

Compound: CePmCuRe
Source: the Alexandria database
Functional: PBE
Structure: optimized geometry

calculated formation energy = 103.8 meV/atom
size of the total moment = 0.007 μB per atom
SG = F-43m, No. 216

Structure (extended XYZ):
```
16
Lattice="7.015 0.000 0.000 0.000 7.015 0.000 0.000 0.000 7.015" Properties=species:S:1:pos:R:3 pbc="T T T"
Ce 0.000 0.000 0.000
Ce 0.000 3.507 3.507
Ce 3.507 0.000 3.507
Ce 3.507 3.507 0.000
Pm 0.000 0.000 3.507
Pm 0.000 3.507 0.000
Pm 3.507 0.000 0.000
Pm 3.507 3.507 3.507
Cu 1.754 1.754 5.261
Cu 1.754 5.261 1.754
Cu 5.261 1.754 1.754
Cu 5.261 5.261 5.261
Re 1.754 1.754 1.754
Re 1.754 5.261 5.261
Re 5.261 1.754 5.261
Re 5.261 5.261 1.754
```

=====

Compound: Fe2NiAs
Source: the Alexandria database
Functional: PBE
Structure: optimized geometry

calculated formation energy = 218.3 meV/atom
size of the total moment = 1.241 μB per atom
SG = I-42d, No. 122

Structure (extended XYZ):
```
16
Lattice="3.486 0.000 0.000 0.000 3.486 0.000 0.000 0.000 17.411" Properties=species:S:1:pos:R:3 pbc="T T T"
Fe 0.855 0.871 2.176
Fe 0.871 2.597 6.529
Fe 0.871 2.631 15.234
Fe 0.888 0.871 10.882
Fe 2.597 2.614 10.882
Fe 2.614 0.855 15.234
Fe 2.614 0.888 6.529
Fe 2.631 2.614 2.176
Ni 0.000 0.000 8.705
Ni 0.000 1.743 13.058
Ni 1.743 0.000 4.353
Ni 1.743 1.743 0.000
As 0.000 0.000 0.000
As 0.000 1.743 4.353
As 1.743 0.000 13.058
As 1.743 1.743 8.705
```

=====

Compound: Tb2TmPuO8
Source: the Alexandria database
Functional: PBE
Structure: optimized geometry

formation energy without anion corrections = -3.094 eV per atom
size of the total moment = 0.083 μB per atom
SG = Cmmm, No. 65

Structure (extended XYZ):
```
12
Lattice="3.562 -3.642 0.000 3.562 3.642 0.000 0.000 0.000 6.942" Properties=species:S:1:pos:R:3 pbc="T T T"
Tb 0.000 0.000 1.669
Tb 0.000 0.000 5.273
Tm 3.562 0.000 0.000
Pu 3.562 0.000 3.471
O 1.396 0.000 0.000
O 1.573 0.000 3.471
O 3.562 1.324 1.911
O 3.562 1.324 5.031
O 3.562 -1.324 1.911
O 3.562 -1.324 5.031
O 5.551 0.000 3.471
O 5.729 0.000 0.000
```

=====

Compound: Fe2TcRh
Source: the Alexandria database
Functional: PBE
Structure: optimized geometry

calculated formation energy = 126.5 meV/atom
energy above the lowest structure with this stoichiometry = 109 meV per atom
size of the total moment = 1.506 μB per atom
SG = Cmmm, No. 65

Structure (extended XYZ):
```
8
Lattice="3.011 0.000 0.000 0.000 4.275 0.000 0.000 0.000 8.344" Properties=species:S:1:pos:R:3 pbc="T T T"
Fe 0.000 0.000 2.081
Fe 0.000 0.000 6.263
Fe 1.505 2.138 2.081
Fe 1.505 2.138 6.263
Tc 0.000 2.138 4.172
Tc 1.505 0.000 4.172
Rh 0.000 2.138 0.000
Rh 1.505 0.000 0.000
```

=====

Compound: KBaSi2Se
Source: the Alexandria database
Functional: PBE
Structure: optimized geometry

formation energy without anion corrections = 0.205 eV per atom
size of the total moment = 0.000 μB per atom
SG = P4/mmm, No. 123

Structure (extended XYZ):
```
5
Lattice="5.363 0.000 0.000 0.000 5.363 0.000 0.000 0.000 5.916" Properties=species:S:1:pos:R:3 pbc="T T T"
K 0.000 0.000 0.000
Ba 2.681 2.681 0.000
Si 0.000 2.681 2.958
Si 2.681 0.000 2.958
Se 2.681 2.681 2.958
```

=====

Compound: SrAsP4
Source: the Alexandria database
Functional: PBE
Structure: optimized geometry

calculated formation energy = 4.5 meV/atom
size of the total moment = 0.000 μB per atom
SG = F-43m, No. 216

Structure (extended XYZ):
```
6
Lattice="0.000 4.013 4.013 4.013 0.000 4.013 4.013 4.013 0.000" Properties=species:S:1:pos:R:3 pbc="T T T"
Sr 0.000 0.000 0.000
As 6.020 6.020 6.020
P 3.215 3.215 3.215
P 4.812 4.812 3.215
P 4.812 3.215 4.812
P 3.215 4.812 4.812
```

=====

Compound: CrHg2As
Source: the Alexandria database
Functional: PBE
Structure: optimized geometry

calculated formation energy = 255.3 meV/atom
size of the total moment = 0.838 μB per atom
SG = Imm2, No. 44

Structure (extended XYZ):
```
8
Lattice="3.038 0.000 0.000 0.000 4.844 0.000 0.000 0.000 11.928" Properties=species:S:1:pos:R:3 pbc="T T T"
Cr 0.000 0.000 0.000
Cr 1.519 2.422 5.964
Hg 0.000 0.000 6.077
Hg 0.000 2.422 8.417
Hg 1.519 0.000 2.453
Hg 1.519 2.422 0.113
As 0.000 2.422 3.937
As 1.519 0.000 9.901
```

=====

Number 9 is which compound?
Fe2TcRh

=====

Repeat the eighth record exactly.
Compound: Tb2TmPuO8
Source: the Alexandria database
Functional: PBE
Structure: optimized geometry

formation energy without anion corrections = -3.094 eV per atom
size of the total moment = 0.083 μB per atom
SG = Cmmm, No. 65

Structure (extended XYZ):
```
12
Lattice="3.562 -3.642 0.000 3.562 3.642 0.000 0.000 0.000 6.942" Properties=species:S:1:pos:R:3 pbc="T T T"
Tb 0.000 0.000 1.669
Tb 0.000 0.000 5.273
Tm 3.562 0.000 0.000
Pu 3.562 0.000 3.471
O 1.396 0.000 0.000
O 1.573 0.000 3.471
O 3.562 1.324 1.911
O 3.562 1.324 5.031
O 3.562 -1.324 1.911
O 3.562 -1.324 5.031
O 5.551 0.000 3.471
O 5.729 0.000 0.000
```

=====

size of the total moment of number 10 (KBaSi2Se)?
0.000 μB per atom

=====

Copy entry 10 word for word.
Compound: KBaSi2Se
Source: the Alexandria database
Functional: PBE
Structure: optimized geometry

formation energy without anion corrections = 0.205 eV per atom
size of the total moment = 0.000 μB per atom
SG = P4/mmm, No. 123

Structure (extended XYZ):
```
5
Lattice="5.363 0.000 0.000 0.000 5.363 0.000 0.000 0.000 5.916" Properties=species:S:1:pos:R:3 pbc="T T T"
K 0.000 0.000 0.000
Ba 2.681 2.681 0.000
Si 0.000 2.681 2.958
Si 2.681 0.000 2.958
Se 2.681 2.681 2.958
```